[1]
CaScAgIr | PBE-GGA | relaxed

Unit cell a=4.8221 b=4.8221 c=4.8221 alpha=60.00 beta=60.00 gamma=60.00
Closest atoms and distances in Å follow each position.
Fractional positions:
Ca 0.0000 0.0000 0.0000  4 Ir 2.95, 4 Ag 2.95
Sc 0.5000 0.5000 0.5000  4 Ir 2.95, 4 Ag 2.95
Ag 0.7500 0.7500 0.7500  4 Ca 2.95, 4 Sc 2.95
Ir 0.2500 0.2500 0.2500  4 Ca 2.95, 4 Sc 2.95

Magnetization, μB per atom: 0.000

=====

[2]
CaSmAgIr | PBE-GGA | relaxed

Unit cell a=5.0297 b=5.0297 c=5.0297 alpha=60.00 beta=60.00 gamma=60.00
Closest atoms and distances in Å follow each position.
Fractional positions:
Ca 0.0000 0.0000 0.0000  4 Ir 3.08, 4 Ag 3.08
Sm 0.5000 0.5000 0.5000  4 Ir 3.08, 4 Ag 3.08
Ag 0.2500 0.2500 0.2500  4 Ca 3.08, 4 Sm 3.08
Ir 0.7500 0.7500 0.7500  4 Ca 3.08, 4 Sm 3.08

Magnetization, μB per atom: 0.000

=====

[3]
CaSmAgIr | PBE-GGA | relaxed

Unit cell a=3.5440 b=3.5440 c=7.4621 alpha=90.00 beta=90.00 gamma=90.00
Closest atoms and distances in Å follow each position.
Fractional positions:
Ca 0.0000 0.0000 0.0000  4 Ir 3.09, 4 Ag 3.24, 1 Sm 3.31
Sm 0.0000 0.0000 0.5560  4 Ir 2.92, 4 Ag 3.27
Ag 0.5000 0.5000 0.2750  4 Ca 3.24, 4 Sm 3.27, 4 Ag 3.54, 1 Ir 3.60
Ir 0.5000 0.5000 0.7580  4 Sm 2.92, 4 Ca 3.09

Magnetization, μB per atom: 0.000

=====

| no. | energy of formation from the pure elements (eV per atom) |
| --- | --- |
| 1 | -0.407 |
| 2 | -0.402 |
| 3 | -0.429 |